# 1
3
Lattice="0.000 3.954 3.954 3.954 0.000 3.954 3.954 3.954 0.000" Properties=species:S:1:pos:R:3 comment="RbErIn (PBE, optimized geometry)" e_tot_ev_per_atom=-2.302 magnetic_moment_mub_per_atom=0.014 sg="No. 216" pbc="T T T"
Er 1.977 1.977 1.977
Rb 5.931 5.931 5.931
In 0.000 0.000 0.000

***

# 2
3
Lattice="-2.553 -4.257 -1.380 -4.945 0.306 -1.413 -1.321 -0.729 -4.926" Properties=species:S:1:pos:R:3 comment="ErTlSn (PBE, optimized geometry)" e_tot_ev_per_atom=-3.675 magnetic_moment_mub_per_atom=0.001 sg="No. 216" pbc="T T T"
Er 0.000 0.000 0.000
Sn -2.205 -1.170 -1.930
Tl -4.410 -2.340 -3.860

***

# 3
26
Lattice="-5.290 -3.120 -0.002 -5.290 3.120 -0.002 0.102 0.000 -11.075" Properties=species:S:1:pos:R:3 comment="Ba2Hg3Pd7O14 (PBE, optimized geometry)" e_tot_ev_per_atom=-5.055 sg="No. 12" pbc="T T T"
Pd -2.645 1.560 -0.001
Pd -2.594 -1.560 -5.538
Pd -2.645 -1.560 -0.001
Pd -8.783 0.000 -2.462
Pd 0.000 0.000 0.000
Pd -2.594 1.560 -5.538
Pd -1.695 0.000 -8.616
O -7.898 1.457 -3.509
O 0.017 0.000 -7.599
O -6.158 1.744 -9.921
O -7.898 -1.457 -3.509
O -6.158 -1.744 -9.921
O -7.233 0.000 -1.118
O -10.495 0.000 -3.479
O -4.320 -1.744 -1.157
O -2.579 -1.457 -7.569
O -2.579 1.457 -7.569
O -4.320 1.744 -1.157
O -6.642 0.000 -5.603
O -3.245 0.000 -9.959
O -3.835 0.000 -5.475
Ba -5.168 0.000 -7.822
Ba -5.310 0.000 -3.256
Hg 0.051 0.000 -5.537
Hg -1.834 0.000 -2.147
Hg -8.644 0.000 -8.931

***

# 4
9
Lattice="5.808 0.000 0.000 -2.904 5.029 0.000 0.000 0.000 7.077" Properties=species:S:1:pos:R:3 comment="InIr3Se5 (PBE, optimized geometry)" e_tot_ev_per_atom=-5.167 magnetic_moment_mub_per_atom=0.002 sg="No. 191" pbc="T T T"
Se 0.000 3.353 5.386
Se 0.000 3.353 1.691
Se 2.904 1.676 5.386
Se 2.904 1.676 1.691
Se 0.000 0.000 3.538
Ir 1.452 2.515 3.538
Ir 2.904 0.000 3.538
Ir -1.452 2.515 3.538
In 0.000 0.000 0.000

***

# 5
11
Lattice="-2.054 2.152 12.518 2.054 -2.152 12.518 2.054 2.152 -12.518" Properties=species:S:1:pos:R:3 comment="La2SmNi2Ge4Pd2 (PBE, optimized geometry)" e_tot_ev_per_atom=-5.793 magnetic_moment_mub_per_atom=0.000 sg="No. 71" pbc="T T T"
Pd 0.000 2.152 10.015
Pd 2.054 0.000 2.502
Ni 0.000 0.000 6.266
Ni 0.000 0.000 18.770
Ge 0.000 2.152 7.442
Ge 0.000 0.000 11.281
Ge 0.000 0.000 13.754
Ge 2.054 0.000 5.075
La 2.054 0.000 8.713
La 0.000 2.152 3.805
Sm 0.000 0.000 0.000

***

# 6
3
Lattice="-3.649 -3.270 -0.295 -4.605 1.522 -0.756 -2.190 -0.851 -4.310" Properties=species:S:1:pos:R:3 comment="PrZnIn (PBE, optimized geometry)" e_tot_ev_per_atom=-3.342 magnetic_moment_mub_per_atom=0.000 sg="No. 216" pbc="T T T"
Zn 0.000 0.000 0.000
In -2.611 -0.650 -1.340
Pr -7.833 -1.950 -4.021

***

# 7
24
Lattice="12.215 0.000 0.000 0.000 4.400 0.000 0.000 0.000 12.510" Properties=species:S:1:pos:R:3 comment="NaLaHgSe3 (PBE, optimized geometry)" e_tot_ev_per_atom=-4.004 magnetic_moment_mub_per_atom=0.000 sg="No. 62" pbc="T T T"
Na 10.366 1.100 6.277
Na 4.259 1.100 12.488
Na 1.849 3.300 6.233
Na 7.957 3.300 0.022
Hg 3.112 1.100 8.812
Hg 9.219 1.100 9.953
Hg 2.996 3.300 2.557
Hg 9.104 3.300 3.698
Se 0.568 1.100 8.063
Se 5.061 1.100 7.064
Se 5.540 3.300 1.808
Se 11.168 1.100 11.700
Se 11.648 3.300 4.447
Se 2.678 1.100 4.165
Se 8.785 1.100 2.090
Se 7.154 3.300 5.445
Se 3.430 3.300 10.419
Se 1.047 3.300 0.810
Se 9.538 3.300 8.345
Se 6.675 1.100 10.702
La 5.770 1.100 3.934
La 0.338 3.300 10.189
La 11.877 1.100 2.321
La 6.445 3.300 8.576

***

# 8
6
Lattice="-3.039 -0.208 -1.584 -0.360 -3.228 1.114 -4.082 3.019 7.434" Properties=species:S:1:pos:R:3 comment="TbDyCu4 (PBE, optimized geometry)" e_tot_ev_per_atom=-4.191 magnetic_moment_mub_per_atom=0.001 delta_e_f_ev_per_atom=-0.17 sg="No. 123" pbc="T T T"
Cu -2.805 2.075 5.108
Cu -2.445 -1.166 1.123
Cu -1.277 0.944 2.325
Cu -5.036 0.749 5.840
Tb -3.740 -0.208 3.481
Dy 0.000 0.000 0.000

***

# 9
72
Lattice="-8.404 5.124 -1.474 -2.499 -2.824 4.433 11.470 24.908 22.332" Properties=species:S:1:pos:R:3 comment="ZnAu17 (PBE, optimized geometry)" e_tot_ev_per_atom=-3.111 delta_e_f_ev_per_atom=0.04 sg="No. 6" pbc="T T T"
Au -3.242 12.439 11.827
Au 3.359 15.088 17.236
Au -4.540 8.685 4.883
Au 3.684 9.305 11.824
Au 1.684 12.751 12.892
Au 1.481 8.430 10.025
Au -1.666 8.069 4.200
Au 5.567 15.989 19.040
Au 1.119 21.929 14.599
Au 2.935 14.166 10.678
Au -2.519 15.309 12.152
Au -0.318 16.196 13.957
Au -1.268 16.723 9.937
Au -3.043 16.769 14.694
Au 2.731 9.841 7.808
Au -0.705 7.536 8.223
Au 0.734 13.281 8.873
Au 2.019 6.951 7.476
Au -1.042 13.326 13.632
Au -2.915 6.656 6.417
Au -5.789 7.273 7.099
Au -4.191 12.979 7.815
Au -0.089 5.977 5.667
Au -3.668 11.522 5.271
Au 2.408 15.620 13.219
Au -1.338 4.565 7.884
Au 0.769 5.539 9.693
Au -1.992 13.852 9.609
Au 3.884 13.633 14.694
Au 4.807 20.839 17.937
Au -2.715 10.975 9.281
Au 3.134 18.490 13.544
Au 0.544 8.948 6.006
Au 0.408 19.062 14.281
Au -4.918 10.110 7.488
Au 3.585 19.459 20.104
Au 2.209 11.297 10.351
Au -2.200 9.521 6.735
Au 0.009 10.409 8.545
Au 1.884 17.080 15.762
Au 5.321 19.367 15.336
Au 4.609 16.500 15.018
Au 0.933 17.607 11.741
Au -0.616 22.023 19.368
Au 4.093 17.956 17.565
Au 2.606 19.953 16.102
Au -0.843 17.649 16.499
Au 3.340 22.840 16.431
Au 1.160 14.209 15.433
Au -5.440 11.567 10.031
Au 6.086 14.517 16.498
Au -1.795 18.179 12.480
Au 5.136 15.044 12.478
Au 0.208 14.738 11.415
Au -1.067 21.051 12.807
Au 1.365 18.551 18.304
Au 0.605 23.403 17.202
Au -0.110 20.518 16.827
Au 6.808 17.391 16.839
Au -3.450 8.109 8.951
Au 7.543 20.277 17.168
Au 4.410 12.175 12.151
Au 0.959 9.885 12.569
Au 4.935 10.718 9.609
Au 3.160 10.763 14.368
Au -1.464 12.386 7.064
Au -1.241 8.997 10.762
Au -0.517 11.868 11.089
Zn 2.554 5.551 4.975
Zn 6.259 18.790 19.317
Zn 1.304 4.139 7.192
Zn 2.054 21.354 18.580

***

# 10
9
Lattice="-3.762 2.593 6.726 -4.355 -2.776 -6.281 0.174 -3.871 1.590" Properties=species:S:1:pos:R:3 comment="Ho3Er3Sb2Os (PBE, optimized geometry)" e_tot_ev_per_atom=-5.890 magnetic_moment_mub_per_atom=0.003 sg="No. 189" pbc="T T T"
Ho -2.643 -1.685 -3.812
Ho -3.191 -0.072 0.175
Ho -2.283 1.574 4.082
Sb -4.070 -2.922 -1.150
Sb -3.873 -1.132 3.186
Er -6.106 -2.075 1.135
Er -0.945 -2.594 -0.694
Er -0.804 -1.321 2.389
Os 0.000 0.000 0.000

***

# 11
3
Lattice="0.000 3.606 3.606 3.606 0.000 3.606 3.606 3.606 0.000" Properties=species:S:1:pos:R:3 comment="CsThTa (PBE, optimized geometry)" e_tot_ev_per_atom=-4.345 magnetic_moment_mub_per_atom=0.208 sg="No. 216" pbc="T T T"
Ta 5.409 5.409 5.409
Cs 0.000 0.000 0.000
Th 1.803 1.803 1.803

***

# 12
3
Lattice="3.255 -3.147 2.115 -1.656 -3.963 2.554 0.598 -4.599 -1.860" Properties=species:S:1:pos:R:3 comment="DyNpAl (PBE, optimized geometry)" e_tot_ev_per_atom=-6.564 magnetic_moment_mub_per_atom=1.695 sg="No. 216" pbc="T T T"
Np 1.648 -8.782 2.107
Dy 0.549 -2.927 0.702
Al 0.000 0.000 0.000